VASP calculation (PBE-GGA) on an optimized crystal structure of Ho2MgCu.

Unit cell a=7.212 b=7.212 c=7.212 alpha=90.00 beta=90.00 gamma=90.00
Space group Fm-3m (No. 225)
Inequivalent atoms, fractional coordinates:
Ho1 0.250 0.250 0.250 (multiplicity 8)
Mg1 0.000 0.000 0.000 (multiplicity 4)
Cu1 0.000 0.000 0.500 (multiplicity 4)

Values from the calculation:
* spin magnetization: 0.0 μB per formula unit
* electronic total energy: -15.110 eV per formula unit
* energy relative to the lowest polymorph listed for this composition: 1.99 kcal/mol of atoms
* V: 375.2 Å³/cell
* energy relative to the elements: -6.4 kJ/mol of atoms


VASP calculation (PBE-GGA) on an optimized crystal structure of SmZn4Au6.

Unit cell a=6.695 b=6.695 c=9.818 alpha=90.00 beta=90.00 gamma=90.00
Space group I-42m (No. 121)
Inequivalent atoms, fractional coordinates:
Sm1 0.000 0.000 0.000 (multiplicity 2)
Zn1 0.157 0.157 0.403 (multiplicity 8)
Au1 0.000 0.500 0.000 (multiplicity 4)
Au2 0.219 0.219 0.676 (multiplicity 8)

Values from the calculation:
* spin magnetization: 0.0 μB per formula unit
* electronic total energy: -31.925 eV per formula unit
* V: 440.1 Å³/cell
* energy relative to the elements: -21.4 kJ/mol of atoms


VASP calculation (PBE-GGA) on an optimized crystal structure of KYBr3.

Unit cell a=5.654 b=5.654 c=5.654 alpha=90.00 beta=90.00 gamma=90.00
Space group Pm-3m (No. 221)
Inequivalent atoms, fractional coordinates:
K1 0.000 0.000 0.000 (multiplicity 1)
Y1 0.500 0.500 0.500 (multiplicity 1)
Br1 0.000 0.500 0.500 (multiplicity 3)

Values from the calculation:
* ΔE_f (raw): -7.7 eV per formula unit
* spin magnetization: 0.4 μB per formula unit
* electronic total energy: -20.247 eV per formula unit
* V: 180.7 Å³/cell


VASP calculation (PBE-GGA) on an optimized crystal structure of Fe3Pd5Pt12.

Unit cell a=14.749 b=14.749 c=14.749 alpha=90.00 beta=90.00 gamma=90.00
Space group Ia-3d (No. 230)
Inequivalent atoms, fractional coordinates:
Fe1 0.000 0.250 0.125 (multiplicity 24)
Pd1 0.000 0.000 0.000 (multiplicity 16)
Pd2 0.000 0.250 0.375 (multiplicity 24)
Pt1 0.008 0.079 0.652 (multiplicity 96)

Values from the calculation:
* spin magnetization: 13.8 μB per formula unit
* electronic total energy: -112.291 eV per formula unit
* V: 3208.7 Å³/cell
* energy relative to the elements: 55.7 kJ/mol of atoms


VASP calculation (PBE-GGA) on an optimized crystal structure of YPRh.

Unit cell a=6.787 b=3.909 c=11.822 alpha=90.00 beta=90.89 gamma=90.00
Space group P2_1/m (No. 11)
Inequivalent atoms, fractional coordinates:
Y1 0.028 0.250 0.122 (multiplicity 2)
Y2 0.151 0.250 0.420 (multiplicity 2)
Y3 0.470 0.750 0.791 (multiplicity 2)
P1 0.233 0.750 0.251 (multiplicity 2)
P2 0.273 0.250 0.928 (multiplicity 2)
P3 0.281 0.750 0.580 (multiplicity 2)
Rh1 0.134 0.250 0.705 (multiplicity 2)
Rh2 0.350 0.750 0.037 (multiplicity 2)
Rh3 0.492 0.250 0.589 (multiplicity 2)

Values from the calculation:
* spin magnetization: 0.0 μB per formula unit
* electronic total energy: -22.948 eV per formula unit
* V: 313.6 Å³/cell
* energy relative to the elements: -119.7 kJ/mol of atoms


VASP calculation (PBE-GGA) on an optimized crystal structure of SrSn2Te5.

Unit cell a=4.443 b=12.647 c=19.030 alpha=90.00 beta=90.00 gamma=90.00
Space group Cmcm (No. 63)
Inequivalent atoms, fractional coordinates:
Sr1 0.000 0.049 0.250 (multiplicity 4)
Sn1 0.000 0.189 0.599 (multiplicity 8)
Te1 0.000 0.151 0.074 (multiplicity 8)
Te2 0.000 0.252 0.750 (multiplicity 4)
Te3 0.000 0.475 0.109 (multiplicity 8)

Values from the calculation:
* ΔE_f (raw): -3.8 eV per formula unit
* spin magnetization: 0.0 μB per formula unit
* electronic total energy: -29.151 eV per formula unit
* V: 1069.4 Å³/cell


VASP calculation (PBE-GGA) on an optimized crystal structure of Li2Ga2Cu.

Unit cell a=6.533 b=6.533 c=3.667 alpha=90.00 beta=90.00 gamma=90.00
Space group P4/mbm (No. 127)
Inequivalent atoms, fractional coordinates:
Li1 0.162 0.338 0.000 (multiplicity 4)
Ga1 0.142 0.642 0.500 (multiplicity 4)
Cu1 0.000 0.000 0.500 (multiplicity 2)

Values from the calculation:
* spin magnetization: 0.0 μB per formula unit
* electronic total energy: -14.698 eV per formula unit
* energy relative to the lowest polymorph listed for this composition: 2.77 kcal/mol of atoms
* V: 156.5 Å³/cell
* energy relative to the elements: -13.9 kJ/mol of atoms


VASP calculation (PBE-GGA) on an optimized crystal structure of BeTeOs2.

Unit cell a=3.1902 b=3.1902 c=20.4360 alpha=90.00 beta=90.00 gamma=120.00
Space group R-3m (No. 166, hexagonal axes)
Inequivalent atoms, fractional coordinates:
Be1 0.0000 0.0000 0.0000 (multiplicity 3)
Te1 0.0000 0.0000 0.5000 (multiplicity 3)
Os1 0.0000 0.0000 0.2686 (multiplicity 6)

Values from the calculation:
* ΔE_f (raw): 2.6 eV per formula unit
* spin magnetization: 0.0 μB per formula unit
* electronic total energy: -26.680 eV per formula unit
* energy relative to the lowest polymorph listed for this composition: 4.68 kcal/mol of atoms
* V: 180.1 Å³/cell


VASP calculation (PBE-GGA) on an optimized crystal structure of Nd2SmCd2In2.

Unit cell a=4.9879 b=4.9879 c=27.6796 alpha=90.00 beta=90.00 gamma=120.00
Space group R-3m (No. 166, hexagonal axes)
Inequivalent atoms, fractional coordinates:
Nd1 0.0000 0.0000 0.1282 (multiplicity 6)
Sm1 0.0000 0.0000 0.0000 (multiplicity 3)
Cd1 0.0000 0.0000 0.3966 (multiplicity 6)
In1 0.0000 0.0000 0.2627 (multiplicity 6)

Values from the calculation:
* spin magnetization: 0.0 μB per formula unit
* electronic total energy: -23.612 eV per formula unit
* V: 596.4 Å³/cell
* energy relative to the elements: -28.3 kJ/mol of atoms


VASP calculation (PBE-GGA) on an optimized crystal structure of CrPdSe2.

Unit cell a=6.458 b=6.458 c=6.458 alpha=90.00 beta=90.00 gamma=90.00
Space group Fm-3m (No. 225)
Inequivalent atoms, fractional coordinates:
Cr1 0.000 0.000 0.000 (multiplicity 4)
Pd1 0.000 0.000 0.500 (multiplicity 4)
Se1 0.250 0.250 0.250 (multiplicity 8)

Values from the calculation:
* ΔE_f (raw): -0.2 eV per formula unit
* spin magnetization: 2.8 μB per formula unit
* electronic total energy: -21.956 eV per formula unit
* energy relative to the lowest polymorph listed for this composition: 4.78 kcal/mol of atoms
* V: 269.3 Å³/cell


VASP calculation (PBE-GGA) on an optimized crystal structure of K4Ba.

Unit cell a=10.010 b=10.010 c=10.010 alpha=90.00 beta=90.00 gamma=90.00
Space group Im-3m (No. 229)
Inequivalent atoms, fractional coordinates:
K1 0.250 0.250 0.250 (multiplicity 8)
Ba1 0.000 0.000 0.000 (multiplicity 2)

Values from the calculation:
* spin magnetization: 0.0 μB per formula unit
* electronic total energy: -4.618 eV per formula unit
* energy relative to the lowest polymorph listed for this composition: 6.86 kcal/mol of atoms
* V: 1003.0 Å³/cell
* energy relative to the elements: 32.7 kJ/mol of atoms


VASP calculation (PBE-GGA) on an optimized crystal structure of La4PuN4.

Unit cell a=12.262 b=3.655 c=9.153 alpha=90.00 beta=119.86 gamma=90.00
Space group C2/m (No. 12)
Inequivalent atoms, fractional coordinates:
La1 0.105 0.000 0.382 (multiplicity 4)
La2 0.206 0.500 0.812 (multiplicity 4)
Pu1 0.000 0.500 0.000 (multiplicity 2)
N1 0.093 0.000 0.916 (multiplicity 4)
N2 0.192 0.500 0.293 (multiplicity 4)

Values from the calculation:
* ΔE_f (raw): -10.4 eV per formula unit
* spin magnetization: 6.1 μB per formula unit
* electronic total energy: -77.707 eV per formula unit
* energy relative to the lowest polymorph listed for this composition: 0.00 kcal/mol of atoms
* V: 355.8 Å³/cell


VASP calculation (PBE-GGA) on an optimized crystal structure of Pd2RhW.

Unit cell a=7.138 b=7.138 c=5.230 alpha=90.00 beta=90.00 gamma=90.00
Space group I-42d (No. 122)
Inequivalent atoms, fractional coordinates:
Pd1 0.231 0.250 0.125 (multiplicity 8)
Rh1 0.000 0.000 0.500 (multiplicity 4)
W1 0.000 0.000 0.000 (multiplicity 4)

Values from the calculation:
* spin magnetization: 0.0 μB per formula unit
* electronic total energy: -28.513 eV per formula unit
* energy relative to the lowest polymorph listed for this composition: 13.03 kcal/mol of atoms
* V: 266.5 Å³/cell
* energy relative to the elements: 52.5 kJ/mol of atoms